VASP calculation (PBE) on a geometry-optimized BaHF5 structure.

Results
space-group type = Cc
theoretical density = 2.721 Mg/m³
raw total energy = -4.10 eV/atom
V = 20.34 A^3/atom

a = 8.941 Å, b = 8.941 Å, c = 4.658 Å
α = 93.80°, β = 93.79°, γ = 129.28°
Each line ends with the local moment (μB).
Fractional positions:
Ba  0.729  0.276  0.747  0.00
Ba  0.276  0.729  0.247  0.00
H  0.988  0.001  0.038  0.00
H  0.001  0.988  0.538  0.00
F  0.121  0.513  0.702  0.39
F  0.660  0.941  0.490  0.52
F  0.513  0.121  0.202  0.39
F  0.025  0.963  0.730  0.02
F  0.063  0.343  0.002  0.52
F  0.941  0.660  0.990  0.52
F  0.963  0.025  0.230  0.02
F  0.492  0.885  0.792  0.40
F  0.343  0.063  0.502  0.52
F  0.885  0.492  0.292  0.40



VASP calculation (PBE) on a geometry-optimized MoS5 structure.

Results
formation energy from raw total energies = -0.220 eV per atom
space-group type = P-1
theoretical density = 2.639 Mg/m³
V = 26.88 A^3/atom
D(E_F) = 2.618 states/eV per cell

a = 3.358 Å, b = 7.469 Å, c = 13.811 Å
α = 103.83°, β = 76.40°, γ = 102.16°
Fractional positions:
Mo  0.605  0.400  0.780
Mo  0.395  0.600  0.220
S  0.459  0.412  0.050
S  0.541  0.588  0.950
S  0.744  0.360  0.237
S  0.256  0.640  0.763
S  0.068  0.816  0.156
S  0.932  0.184  0.844
S  0.086  0.172  0.691
S  0.914  0.828  0.309
S  0.377  0.461  0.369
S  0.623  0.539  0.631



VASP calculation (PBE) on a geometry-optimized CaEr2Se4 structure.

Results
formation energy from raw total energies = -1.912 eV per atom
distance to the lowest polymorph of the same formula = 0.0000 eV/atom
space-group type = Imma
theoretical density = 5.821 Mg/m³
V = 28.14 A^3/atom

a = 8.323 Å, b = 8.198 Å, c = 8.198 Å
α = 60.51°, β = 59.50°, γ = 59.50°
Fractional positions:
Ca  0.500  0.500  0.000
Ca  0.000  0.500  0.000
Se  0.250  0.241  0.259
Se  0.750  0.241  0.259
Se  0.250  0.759  0.741
Se  0.750  0.759  0.741
Se  0.760  0.754  0.254
Se  0.768  0.246  0.746
Se  0.232  0.754  0.254
Se  0.240  0.246  0.746
Er  0.000  0.000  0.000
Er  0.000  0.000  0.500
Er  0.000  0.500  0.500
Er  0.500  0.000  0.500



VASP calculation (PBE) on a geometry-optimized BaAlRu2 structure.

Results
ΔE_f = 779 meV per atom
space-group type = Pmmm
theoretical density = 7.784 Mg/m³
V = 19.54 A^3/atom
D(E_F) = 3.587 states/eV per cell

a = 3.276 Å, b = 5.479 Å, c = 4.355 Å
α = 90.00°, β = 90.00°, γ = 90.00°
Fractional positions:
Ru  0.000  0.000  0.000
Ru  0.500  0.500  0.000
Ba  0.000  0.500  0.500
Al  0.500  0.000  0.500